DFT (PBE) results for AlCoMoW after structural relaxation.

Lattice parameters (Å, degrees): 6.097 6.097 6.097 90.00 90.00 90.00
Space group F-43m (No. 216)
One atom of each set of equivalent atoms:
Al1 0.000 0.000 0.000 (multiplicity 4)
Co1 0.250 0.250 0.250 (multiplicity 4)
Mo1 0.250 0.250 0.750 (multiplicity 4)
W1 0.000 0.000 0.500 (multiplicity 4)

Summary:
The polymorph energy (0 for the lowest one) is 0.0 meV/atom. As for the volume: 226.7 Å³/cell.